(1)
# HoVP2Ru, optimized geometry, DFT GGA-PBE
# **Magnetization**: 2.14 μB per formula unit
# **Energy of formation from the pure elements**: -940 meV/atom
# **D(E_F)**: 2.09 states/eV/f.u.
data_HoVP2Ru
_space_group_name_H-M_alt 'I -4 m 2'
_space_group_IT_number 119
_space_group_name_Hall 'I -4 -2'
_cell_length_a 4.041
_cell_length_b 4.041
_cell_length_c 9.727
_cell_angle_alpha 90.00
_cell_angle_beta 90.00
_cell_angle_gamma 90.00
loop_
_atom_site_label
_atom_site_fract_x
_atom_site_fract_y
_atom_site_fract_z
Ho1 0.000 0.000 0.000
V1 0.000 0.500 0.250
P1 0.000 0.000 0.378
Ru1 0.000 0.500 0.750



(2)
# LiAcAl2Pt4, optimized geometry, DFT GGA-PBE
# **Magnetization**: 0.00 μB per formula unit
# **Energy of formation from the pure elements**: -1031 meV/atom
# **D(E_F)**: 3.36 states/eV/f.u.
data_LiAcAl2Pt4
_space_group_name_H-M_alt 'R -3 m'
_space_group_IT_number 166
_space_group_name_Hall '-R 3 2"'
_cell_length_a 4.2827
_cell_length_b 4.2827
_cell_length_c 27.0428
_cell_angle_alpha 90.00
_cell_angle_beta 90.00
_cell_angle_gamma 120.00
loop_
_atom_site_label
_atom_site_fract_x
_atom_site_fract_y
_atom_site_fract_z
Li1 0.0000 0.0000 0.0000
Ac1 0.0000 0.0000 0.5000
Al1 0.0000 0.0000 0.2690
Pt1 0.0000 0.0000 0.0921
Pt2 0.0000 0.0000 0.3660



(3)
# NiAg2Ru, optimized geometry, DFT GGA-PBE
# **Magnetization**: 0.34 μB per formula unit
# **Energy of formation from the pure elements**: 290 meV/atom
# **D(E_F)**: 4.71 states/eV/f.u.
data_NiAg2Ru
_space_group_name_H-M_alt 'R 3 m'
_space_group_IT_number 160
_space_group_name_Hall 'R 3 -2"'
_cell_length_a 2.7702
_cell_length_b 2.7702
_cell_length_c 27.4633
_cell_angle_alpha 90.00
_cell_angle_beta 90.00
_cell_angle_gamma 120.00
loop_
_atom_site_label
_atom_site_fract_x
_atom_site_fract_y
_atom_site_fract_z
Ni1 0.0000 0.0000 0.0000
Ag1 0.0000 0.0000 0.5074
Ag2 0.0000 0.0000 0.7483
Ru1 0.0000 0.0000 0.2629



(4)
# KMg2Cr, optimized geometry, DFT GGA-PBE
# **Magnetization**: 4.38 μB per formula unit
# **Energy of formation from the pure elements**: 553 meV/atom
# **D(E_F)**: 2.28 states/eV/f.u.
data_KMg2Cr
_space_group_name_H-M_alt 'C 1 2/m 1'
_space_group_IT_number 12
_space_group_name_Hall '-C 2y'
_cell_length_a 9.772
_cell_length_b 3.185
_cell_length_c 7.574
_cell_angle_alpha 90.00
_cell_angle_beta 95.23
_cell_angle_gamma 90.00
loop_
_atom_site_label
_atom_site_fract_x
_atom_site_fract_y
_atom_site_fract_z
K1 0.000 0.000 0.000
Mg1 0.232 0.000 0.668
Cr1 0.000 0.500 0.500